VASP calculation (GGA+U) on crystalline YW2F2 at its relaxed geometry.

E = -5.078 eV per atom
Energy above the most stable polymorph in this dataset = 0 meV/atom
SG = P4/mbm (127)

a = 7.730 Å, b = 7.730 Å, c = 3.388 Å
α = 90.00°, β = 90.00°, γ = 90.00°
Atoms (fractional coordinates):
F1 0.765 0.735 0.000
Y1 0.000 0.000 0.000
W1 0.636 0.864 0.500
W2 0.364 0.136 0.500
F2 0.265 0.765 0.000
W3 0.864 0.364 0.500
Y2 0.500 0.500 0.000
W4 0.136 0.636 0.500
F3 0.235 0.265 0.000
F4 0.735 0.235 0.000